# 1
An optimized crystal structure of Na2PuMgS4. Source: Alexandria via LeMat-Bulk, functional PBE-GGA.

a = 3.9422 Å, b = 6.6374 Å, c = 7.0055 Å
α = 108.75°, β = 90.00°, γ = 90.00°
Atoms (fractional coordinates):
S  0.0000  0.7423  0.2239
S  0.5000  0.7630  0.7838
S  0.5000  0.2370  0.2162
S  0.0000  0.2577  0.7761
Na  0.5000  0.0000  0.5000
Na  0.0000  0.5000  0.5000
Pu  0.5000  0.5000  0.0000
Mg  0.0000  0.0000  0.0000

Values from the calculation:
Its space group is No. 10. The density of states at the Fermi level comes out at 1.281 states/eV per atom. The calculation puts the energy relative to the elements, uncorrected at -1363 meV per atom.

---

# 2
An optimized crystal structure of PaVSi2. Source: Alexandria via LeMat-Bulk, functional PBE-GGA.

a = 3.7465 Å, b = 7.4304 Å, c = 10.0424 Å
α = 90.00°, β = 90.00°, γ = 90.00°
Atoms (fractional coordinates):
Si  0.2500  0.6605  0.3118
Si  0.2500  0.2296  0.5654
Si  0.7500  0.3395  0.6882
Si  0.7500  0.2704  0.0654
Si  0.7500  0.7704  0.4346
Si  0.2500  0.7296  0.9346
Si  0.7500  0.8395  0.8118
Si  0.2500  0.1605  0.1882
V  0.7500  0.0098  0.6014
V  0.2500  0.9902  0.3986
V  0.2500  0.4902  0.1014
V  0.7500  0.5098  0.8986
Pa  0.7500  0.8612  0.1357
Pa  0.7500  0.3612  0.3643
Pa  0.2500  0.6388  0.6357
Pa  0.2500  0.1388  0.8643

Values from the calculation:
Its space group is No. 62. The density of states at the Fermi level comes out at 0.994 states/eV per atom. The calculation puts the energy relative to the elements, uncorrected at -548 meV per atom.

---

# 3
An optimized crystal structure of LaBRh3. Source: Alexandria via LeMat-Bulk, functional PBE-GGA.

a = 4.8835 Å, b = 4.8835 Å, c = 4.8835 Å
α = 90.00°, β = 90.00°, γ = 90.00°
Atoms (fractional coordinates):
B  0.5000  0.5000  0.5000
Rh  0.0000  0.5000  0.0000
Rh  0.0000  0.0000  0.5000
Rh  0.5000  0.0000  0.0000
La  0.0000  0.0000  0.0000

Values from the calculation:
Its space group is No. 221. The density of states at the Fermi level comes out at 1.074 states/eV per atom. For the calculated formation energy, the calculation gives 918.3 kJ/mol of formula units.

---

# 4
An optimized crystal structure of La6DyY3. Source: Alexandria via LeMat-Bulk, functional PBE-GGA.

a = 8.9334 Å, b = 8.9334 Å, c = 8.9334 Å
α = 89.80°, β = 89.80°, γ = 89.80°
Atoms (fractional coordinates):
La  0.1667  0.0574  0.3859
La  0.9426  0.6141  0.8333
La  0.6073  0.5183  0.1482
La  0.1482  0.6073  0.5183
La  0.6141  0.8333  0.9426
La  0.5183  0.1482  0.6073
La  0.8333  0.9426  0.6141
La  0.8518  0.3927  0.4817
La  0.3859  0.1667  0.0574
La  0.4817  0.8518  0.3927
La  0.3927  0.4817  0.8518
La  0.0574  0.3859  0.1667
Y  0.1173  0.2552  0.7239
Y  0.7239  0.1173  0.2552
Y  0.8827  0.7448  0.2761
Y  0.7448  0.2761  0.8827
Y  0.2552  0.7239  0.1173
Y  0.2761  0.8827  0.7448
Dy  0.5000  0.5000  0.5000
Dy  0.0000  0.0000  0.0000

Values from the calculation:
Its space group is No. 148. The density of states at the Fermi level comes out at 1.833 states/eV per atom. For the calculated formation energy, the calculation gives 194.5 kJ/mol of formula units.

---

# 5
An optimized crystal structure of SrAg3Sn3. Source: Alexandria via LeMat-Bulk, functional PBE-GGA.

a = 7.5945 Å, b = 7.5945 Å, c = 8.5446 Å
α = 63.61°, β = 63.61°, γ = 60.00°
Atoms (fractional coordinates):
Ag  0.1333  0.5328  0.6201
Ag  0.2862  0.8667  0.3799
Ag  0.8667  0.4672  0.3799
Ag  0.5328  0.7138  0.6201
Ag  0.7138  0.1333  0.6201
Ag  0.4672  0.2862  0.3799
Sn  0.3167  0.0586  0.7754
Sn  0.6833  0.9414  0.2246
Sn  0.1506  0.6833  0.2246
Sn  0.8494  0.3167  0.7754
Sn  0.0586  0.8494  0.7754
Sn  0.9414  0.1506  0.2246
Sr  0.6626  0.6626  0.0123
Sr  0.3374  0.3374  0.9877

Values from the calculation:
Its space group is No. 148. The density of states at the Fermi level comes out at 0.436 states/eV per atom. For the calculated formation energy, the calculation gives -51.3 kJ/mol of formula units.

---

# 6
An optimized crystal structure of TiCoTe4. Source: Alexandria via LeMat-Bulk, functional PBE-GGA.

a = 3.7430 Å, b = 6.7031 Å, c = 6.2820 Å
α = 89.12°, β = 90.00°, γ = 90.00°
Atoms (fractional coordinates):
Co  0.0000  0.0000  0.0000
Te  0.5000  0.7684  0.1462
Te  0.0000  0.2539  0.3181
Te  0.5000  0.2316  0.8538
Te  0.0000  0.7461  0.6819
Ti  0.5000  0.0000  0.5000

Values from the calculation:
Its space group is No. 10. The density of states at the Fermi level comes out at 0.436 states/eV per atom. The calculation puts the energy relative to the elements, uncorrected at -367 meV per atom.

---

# 7
An optimized crystal structure of Tl2PbAuCl6. Source: Alexandria via LeMat-Bulk, functional PBE-GGA.

a = 7.3062 Å, b = 7.2563 Å, c = 8.0779 Å
α = 116.69°, β = 118.75°, γ = 90.00°
Atoms (fractional coordinates):
Cl  0.7828  0.8216  0.1151
Cl  0.3250  0.7271  0.4541
Cl  0.6750  0.2729  0.5459
Cl  0.7828  0.2935  0.1151
Cl  0.2172  0.1784  0.8849
Cl  0.2172  0.7065  0.8849
Pb  0.0000  0.5000  0.0000
Tl  0.2399  0.2546  0.5092
Tl  0.7601  0.7454  0.4908
Au  0.5000  0.0000  0.0000

Values from the calculation:
Its space group is No. 12. The density of states at the Fermi level comes out at 0.335 states/eV per atom. The calculation puts the energy relative to the elements, uncorrected at -790 meV per atom.

---

# 8
An optimized crystal structure of InTe2Pt. Source: Alexandria via LeMat-Bulk, functional PBE-GGA.

a = 5.0228 Å, b = 5.0228 Å, c = 5.0228 Å
α = 113.82°, β = 113.82°, γ = 101.09°
Atoms (fractional coordinates):
Te  0.0000  0.0000  0.0000
Te  0.5000  0.5000  0.0000
In  0.2500  0.7500  0.5000
Pt  0.7500  0.2500  0.5000

Values from the calculation:
Its space group is No. 139. The density of states at the Fermi level comes out at 0.739 states/eV per atom. The calculation puts the energy relative to the elements, uncorrected at 270 meV per atom.

---

# 9
An optimized crystal structure of K2PuSnCl8. Source: Alexandria via LeMat-Bulk, functional PBE-GGA.

a = 7.1247 Å, b = 6.7384 Å, c = 8.7612 Å
α = 90.02°, β = 89.99°, γ = 92.61°
Atoms (fractional coordinates):
K  0.5000  0.5000  0.2532
K  0.5000  0.5000  0.7468
Cl  0.8612  0.2063  0.7734
Cl  0.6947  0.7497  0.5000
Cl  0.1388  0.7937  0.2266
Cl  0.1388  0.7937  0.7731
Cl  0.6990  0.7687  0.0000
Cl  0.8612  0.2063  0.2269
Cl  0.3010  0.2313  0.0000
Cl  0.3053  0.2503  0.5000
Sn  0.0000  0.0000  0.5000
Pu  0.0000  0.0000  0.0000

Values from the calculation:
Its space group is No. 10. The density of states at the Fermi level comes out at 0.334 states/eV per atom. The calculation puts the energy relative to the elements, uncorrected at -1604 meV per atom.

---

# 10
An optimized crystal structure of BaHfBeS2. Source: Alexandria via LeMat-Bulk, functional PBE-GGA.

a = 5.0048 Å, b = 4.8749 Å, c = 5.0048 Å
α = 90.00°, β = 90.00°, γ = 90.00°
Atoms (fractional coordinates):
Be  0.0000  0.5000  0.0000
Ba  0.5000  0.5000  0.5000
Hf  0.0000  0.0000  0.0000
S  0.0000  0.0000  0.5000
S  0.5000  0.0000  0.0000

Values from the calculation:
Its space group is No. 123. The density of states at the Fermi level comes out at 0.410 states/eV per atom. The calculation puts the energy relative to the elements, uncorrected at -858 meV per atom.

---

# 11
An optimized crystal structure of ErAgBi2S5. Source: Alexandria via LeMat-Bulk, functional PBE-GGA.

a = 4.0091 Å, b = 9.5919 Å, c = 13.0185 Å
α = 90.00°, β = 90.00°, γ = 102.06°
Atoms (fractional coordinates):
S  0.7023  0.4046  0.1608
S  0.0619  0.1237  0.0592
S  0.6541  0.3081  0.5565
S  0.4957  0.9913  0.2756
S  0.2991  0.5983  0.3710
S  0.3459  0.6919  0.0565
S  0.2977  0.5954  0.6608
S  0.9381  0.8763  0.5592
S  0.5043  0.0087  0.7756
S  0.7009  0.4017  0.8710
Ag  0.4341  0.8683  0.4434
Ag  0.5659  0.1317  0.9434
Bi  0.1612  0.3224  0.6951
Bi  0.9115  0.8230  0.7524
Bi  0.8388  0.6776  0.1951
Bi  0.0885  0.1770  0.2524
Er  0.2029  0.4057  0.0100
Er  0.7971  0.5943  0.5100

Values from the calculation:
Its space group is No. 36. The calculation puts the energy relative to the elements, uncorrected at -737 meV per atom.

---

# 12
An optimized crystal structure of Ac2Sn5Pd3. Source: Alexandria via LeMat-Bulk, functional PBE-GGA.

a = 6.7182 Å, b = 9.3083 Å, c = 9.3083 Å
α = 73.86°, β = 68.85°, γ = 68.85°
Atoms (fractional coordinates):
Pd  0.2500  0.0000  0.0000
Pd  0.1368  0.2505  0.4759
Pd  0.8632  0.7495  0.5241
Pd  0.6368  0.4759  0.2505
Pd  0.7500  0.0000  0.0000
Pd  0.3632  0.5241  0.7495
Ac  0.8638  0.4013  0.8712
Ac  0.1362  0.5987  0.1288
Ac  0.6362  0.1288  0.5987
Ac  0.3638  0.8712  0.4013
Sn  0.7500  0.5000  0.5000
Sn  0.0169  0.2331  0.2331
Sn  0.4021  0.2530  0.9428
Sn  0.5169  0.2331  0.2331
Sn  0.9021  0.9428  0.2530
Sn  0.9831  0.7669  0.7669
Sn  0.4831  0.7669  0.7669
Sn  0.2500  0.5000  0.5000
Sn  0.5979  0.7470  0.0572
Sn  0.0979  0.0572  0.7470

Values from the calculation:
Its space group is No. 72. The density of states at the Fermi level comes out at 0.363 states/eV per atom. For the calculated formation energy, the calculation gives -718.1 kJ/mol of formula units.

---

| no. | calculated volume (Å³/atom) |
| --- | --- |
| 1 | 21.7 |
| 2 | 17.5 |
| 3 | 23.3 |
| 4 | 35.6 |
| 5 | 26.2 |
| 6 | 26.3 |
| 7 | 32.2 |
| 8 | 24.0 |
| 9 | 35.0 |
| 10 | 24.4 |
| 11 | 27.2 |
| 12 | 24.9 |